P3Cl: optimized geometry, PBE-GGA.

a = 5.775 Å, b = 5.775 Å, c = 5.775 Å
α = 148.11°, β = 78.89°, γ = 110.10°
Sites, in units of the cell vectors:
P: 0.000 0.000 0.000
P: 0.661 0.280 0.381
P: 0.898 0.280 0.619
Cl: 0.318 0.818 0.500

Results
crystal system	orthorhombic
spin magnetization	0.00	Bohr magnetons per cell
formation energy from raw total energies	6.3	kcal/mol of atoms

SbMoCl2: optimized geometry, PBE-GGA.

a = 7.934 Å, b = 7.934 Å, c = 7.934 Å
α = 158.30°, β = 145.28°, γ = 41.31°
Sites, in units of the cell vectors:
Sb: 0.000 0.000 0.000
Mo: 0.161 0.661 0.500
Cl: 0.290 0.290 0.000
Cl: 0.656 0.156 0.500

Results
crystal system	orthorhombic
spin magnetization	0.21	Bohr magnetons per cell
formation energy from raw total energies	-0.2	kcal/mol of atoms

LaZr2Mo: optimized geometry, PBE-GGA.

a = 5.992 Å, b = 5.992 Å, c = 5.992 Å
α = 146.19°, β = 126.11°, γ = 65.15°
Sites, in units of the cell vectors:
La: 0.000 0.000 0.000
Zr: 0.286 0.786 0.500
Zr: 0.714 0.214 0.500
Mo: 0.500 0.500 0.000

Results
ΔH_f (0 K)	0.25	eV/atom
crystal system	orthorhombic
spin magnetization	0.00	Bohr magnetons per cell

KCd2Si: optimized geometry, PBE-GGA.

a = 3.150 Å, b = 4.567 Å, c = 7.494 Å
α = 90.00°, β = 102.01°, γ = 90.00°
Sites, in units of the cell vectors:
K: 0.000 0.000 0.000
Cd: 0.321 0.500 0.647
Cd: 0.733 0.000 0.468
Si: 0.638 0.500 0.280

Results
crystal system	monoclinic
spin magnetization	0.00	Bohr magnetons per cell
formation energy from raw total energies	4.1	kcal/mol of atoms

KRh3W: optimized geometry, PBE-GGA.

a = 4.808 Å, b = 4.808 Å, c = 4.808 Å
α = 90.00°, β = 90.00°, γ = 90.00°
Sites, in units of the cell vectors:
K: 0.000 0.000 0.000
Rh: 0.000 0.500 0.500
Rh: 0.500 0.000 0.500
Rh: 0.500 0.500 0.000
W: 0.500 0.500 0.500

Results
ΔH_f (0 K)	0.79	eV/atom
crystal system	cubic
spin magnetization	0.00	Bohr magnetons per cell

Li3PbW: optimized geometry, PBE-GGA.

a = 4.995 Å, b = 4.995 Å, c = 4.995 Å
α = 90.00°, β = 90.00°, γ = 90.00°
Sites, in units of the cell vectors:
Li: 0.000 0.000 0.500
Li: 0.000 0.500 0.000
Li: 0.500 0.000 0.000
Pb: 0.500 0.500 0.500
W: 0.000 0.000 0.000

Results
ΔH_f (0 K)	1.25	eV/atom
crystal system	cubic
spin magnetization	4.11	Bohr magnetons per cell

CoAgTe2N: optimized geometry, PBE-GGA.

a = 5.425 Å, b = 5.425 Å, c = 3.364 Å
α = 90.00°, β = 90.00°, γ = 90.00°
Sites, in units of the cell vectors:
Co: 0.000 0.000 0.000
Ag: 0.500 0.500 0.500
Te: 0.000 0.500 0.000
Te: 0.500 0.000 0.000
N: 0.000 0.000 0.500

Results
crystal system	tetragonal
spin magnetization	0.00	Bohr magnetons per cell
formation energy from raw total energies	6.7	kcal/mol of atoms

Li3Mn: optimized geometry, PBE-GGA.

a = 2.690 Å, b = 4.732 Å, c = 5.285 Å
α = 90.00°, β = 96.85°, γ = 90.00°
Sites, in units of the cell vectors:
Li: 0.000 0.000 0.000
Li: 0.201 0.500 0.740
Li: 0.799 0.500 0.260
Mn: 0.500 0.000 0.500

Results
ΔH_f (0 K)	0.26	eV/atom
crystal system	monoclinic
spin magnetization	3.60	Bohr magnetons per cell

CrTePt2: optimized geometry, PBE-GGA.

a = 5.375 Å, b = 5.375 Å, c = 5.375 Å
α = 138.17°, β = 135.24°, γ = 62.92°
Sites, in units of the cell vectors:
Cr: 0.000 0.000 0.000
Te: 0.727 0.227 0.500
Pt: 0.297 0.797 0.500
Pt: 0.520 0.520 0.000

Results
crystal system	orthorhombic
spin magnetization	3.87	Bohr magnetons per cell
formation energy from raw total energies	0.6	kcal/mol of atoms

Pm2Zn5PdRu2: optimized geometry, PBE-GGA.

a = 10.219 Å, b = 10.219 Å, c = 3.441 Å
α = 90.00°, β = 90.00°, γ = 90.00°
Sites, in units of the cell vectors:
Pm: 0.180 0.320 0.000
Pm: 0.320 0.820 0.000
Pm: 0.680 0.180 0.000
Pm: 0.820 0.680 0.000
Zn: 0.000 0.500 0.500
Zn: 0.053 0.809 0.500
Zn: 0.191 0.053 0.500
Zn: 0.309 0.553 0.500
Zn: 0.447 0.309 0.500
Zn: 0.500 0.000 0.500
Zn: 0.553 0.691 0.500
Zn: 0.691 0.447 0.500
Zn: 0.809 0.947 0.500
Zn: 0.947 0.191 0.500
Pd: 0.000 0.000 0.000
Pd: 0.500 0.500 0.000
Ru: 0.132 0.632 0.000
Ru: 0.368 0.132 0.000
Ru: 0.632 0.868 0.000
Ru: 0.868 0.368 0.000

Results
ΔH_f (0 K)	-0.25	eV/atom
crystal system	tetragonal
spin magnetization	0.00	Bohr magnetons per cell

TaIn2Pb: optimized geometry, PBE-GGA.

a = 5.740 Å, b = 5.740 Å, c = 5.740 Å
α = 135.63°, β = 135.63°, γ = 64.55°
Sites, in units of the cell vectors:
Ta: 0.000 0.000 0.000
In: 0.250 0.750 0.500
In: 0.750 0.250 0.500
Pb: 0.500 0.500 0.000

Results
ΔH_f (0 K)	0.49	eV/atom
crystal system	tetragonal
spin magnetization	0.00	Bohr magnetons per cell

TbCeTaN3: optimized geometry, PBE-GGA.

a = 7.371 Å, b = 3.338 Å, c = 8.039 Å
α = 90.00°, β = 91.47°, γ = 90.00°
Sites, in units of the cell vectors:
Tb: 0.103 0.250 0.341
Tb: 0.897 0.750 0.659
Ce: 0.361 0.750 0.660
Ce: 0.639 0.250 0.340
Ta: 0.365 0.750 0.076
Ta: 0.635 0.250 0.924
N: 0.132 0.250 0.619
N: 0.347 0.750 0.331
N: 0.353 0.250 0.919
N: 0.647 0.750 0.081
N: 0.653 0.250 0.669
N: 0.868 0.750 0.381

Results
crystal system	monoclinic
spin magnetization	0.00	Bohr magnetons per cell
formation energy from raw total energies	-25.5	kcal/mol of atoms